1.
Compound: LaTbPm2
Source: Alexandria via LeMat-Bulk
Functional: GGA-PBE
Structure: relaxed

## Properties
Energy of formation from the pure elements = 7 kJ/mol of formula units
E above lowest polymorph = 0 meV/atom

abc: 3.651 3.651 35.863
angles: 90.00 90.00 120.00
Atoms (fractional coordinates):
1 La 0.000 0.000 0.000
2 La 0.333 0.667 0.667
3 La 0.667 0.333 0.333
4 Tb 0.000 0.000 0.500
5 Tb 0.333 0.667 0.167
6 Tb 0.667 0.333 0.833
7 Pm 0.000 0.000 0.248
8 Pm 0.000 0.000 0.752
9 Pm 0.333 0.667 0.419
10 Pm 0.333 0.667 0.915
11 Pm 0.667 0.333 0.085
12 Pm 0.667 0.333 0.581



2.
Compound: Pr6Cd2Au
Source: Alexandria via LeMat-Bulk
Functional: GGA-PBE
Structure: relaxed

## Properties
Energy of formation from the pure elements = -167 kJ/mol of formula units

abc: 6.454 8.486 11.966
angles: 90.00 117.97 90.00
Atoms (fractional coordinates):
1 Pr 0.095 0.051 0.238
2 Pr 0.095 0.449 0.738
3 Pr 0.166 0.710 0.053
4 Pr 0.166 0.790 0.553
5 Pr 0.396 0.153 0.040
6 Pr 0.396 0.347 0.540
7 Pr 0.604 0.653 0.460
8 Pr 0.604 0.847 0.960
9 Pr 0.834 0.210 0.447
10 Pr 0.834 0.290 0.947
11 Pr 0.905 0.551 0.262
12 Pr 0.905 0.949 0.762
13 Cd 0.345 0.108 0.734
14 Cd 0.345 0.392 0.234
15 Cd 0.655 0.608 0.766
16 Cd 0.655 0.892 0.266
17 Au 0.500 0.000 0.500
18 Au 0.500 0.500 0.000



3.
Compound: Nd2Th2CoPd2
Source: Alexandria via LeMat-Bulk
Functional: GGA-PBE
Structure: relaxed

## Properties
Energy of formation from the pure elements = -258 kJ/mol of formula units

abc: 4.164 7.277 7.310
angles: 117.26 90.01 106.54
Atoms (fractional coordinates):
1 Nd 0.023 0.047 0.261
2 Nd 0.977 0.953 0.739
3 Th 0.291 0.584 0.255
4 Th 0.709 0.416 0.745
5 Co 0.500 0.000 0.500
6 Pd 0.372 0.743 0.929
7 Pd 0.628 0.257 0.071



4.
Compound: CeSmCuTc
Source: Alexandria via LeMat-Bulk
Functional: GGA-PBE
Structure: relaxed

## Properties
Energy of formation from the pure elements = -9 kJ/mol of formula units

abc: 6.991 6.991 6.991
angles: 90.00 90.00 90.00
Atoms (fractional coordinates):
1 Ce 0.000 0.000 0.000
2 Ce 0.000 0.500 0.500
3 Ce 0.500 0.000 0.500
4 Ce 0.500 0.500 0.000
5 Sm 0.000 0.000 0.500
6 Sm 0.000 0.500 0.000
7 Sm 0.500 0.000 0.000
8 Sm 0.500 0.500 0.500
9 Cu 0.250 0.250 0.750
10 Cu 0.250 0.750 0.250
11 Cu 0.750 0.250 0.250
12 Cu 0.750 0.750 0.750
13 Tc 0.250 0.250 0.250
14 Tc 0.250 0.750 0.750
15 Tc 0.750 0.250 0.750
16 Tc 0.750 0.750 0.250



5.
Compound: ZrZn2Tc
Source: Alexandria via LeMat-Bulk
Functional: GGA-PBE
Structure: relaxed

## Properties
Energy of formation from the pure elements = -14 kJ/mol of formula units
E above lowest polymorph = 183 meV/atom

abc: 6.363 6.363 6.363
angles: 90.00 90.00 90.00
Atoms (fractional coordinates):
1 Zr 0.000 0.000 0.000
2 Zr 0.000 0.500 0.500
3 Zr 0.500 0.000 0.500
4 Zr 0.500 0.500 0.000
5 Zn 0.250 0.250 0.250
6 Zn 0.250 0.250 0.750
7 Zn 0.250 0.750 0.250
8 Zn 0.250 0.750 0.750
9 Zn 0.750 0.250 0.250
10 Zn 0.750 0.250 0.750
11 Zn 0.750 0.750 0.250
12 Zn 0.750 0.750 0.750
13 Tc 0.000 0.000 0.500
14 Tc 0.000 0.500 0.000
15 Tc 0.500 0.000 0.000
16 Tc 0.500 0.500 0.500



6.
Compound: Bi3PbC
Source: Alexandria via LeMat-Bulk
Functional: GGA-PBE
Structure: relaxed

## Properties
Energy of formation from the pure elements = 405 kJ/mol of formula units
E above lowest polymorph = 0 meV/atom

abc: 5.116 5.116 5.116
angles: 90.00 90.00 90.00
Atoms (fractional coordinates):
1 Bi 0.000 0.000 0.500
2 Bi 0.000 0.500 0.000
3 Bi 0.500 0.000 0.000
4 Pb 0.500 0.500 0.500
5 C 0.000 0.000 0.000



7.
Compound: DyCuAgPd
Source: Alexandria via LeMat-Bulk
Functional: GGA-PBE
Structure: relaxed

## Properties
Energy of formation from the pure elements = -147 kJ/mol of formula units

abc: 6.663 6.663 6.663
angles: 90.00 90.00 90.00
Atoms (fractional coordinates):
1 Dy 0.000 0.000 0.000
2 Dy 0.000 0.500 0.500
3 Dy 0.500 0.000 0.500
4 Dy 0.500 0.500 0.000
5 Cu 0.250 0.250 0.750
6 Cu 0.250 0.750 0.250
7 Cu 0.750 0.250 0.250
8 Cu 0.750 0.750 0.750
9 Ag 0.000 0.000 0.500
10 Ag 0.000 0.500 0.000
11 Ag 0.500 0.000 0.000
12 Ag 0.500 0.500 0.500
13 Pd 0.250 0.250 0.250
14 Pd 0.250 0.750 0.750
15 Pd 0.750 0.250 0.750
16 Pd 0.750 0.750 0.250



8.
Compound: MgSb2P2
Source: Alexandria via LeMat-Bulk
Functional: GGA-PBE
Structure: relaxed

## Properties
E above lowest polymorph = 0 meV/atom
Raw formation energy = 127 meV per atom

abc: 7.642 7.642 3.861
angles: 90.00 90.00 90.00
Atoms (fractional coordinates):
1 Mg 0.000 0.000 0.000
2 Mg 0.500 0.500 0.000
3 Sb 0.159 0.341 0.500
4 Sb 0.341 0.841 0.500
5 Sb 0.659 0.159 0.500
6 Sb 0.841 0.659 0.500
7 P 0.177 0.677 0.000
8 P 0.323 0.177 0.000
9 P 0.677 0.823 0.000
10 P 0.823 0.323 0.000



9.
Compound: LiTh2Pb9
Source: Alexandria via LeMat-Bulk
Functional: GGA-PBE
Structure: relaxed

## Properties
Energy of formation from the pure elements = -215 kJ/mol of formula units

abc: 4.858 4.858 14.892
angles: 90.00 90.00 90.00
Atoms (fractional coordinates):
1 Li 0.000 0.000 0.000
2 Th 0.000 0.000 0.341
3 Th 0.000 0.000 0.659
4 Pb 0.000 0.500 0.159
5 Pb 0.000 0.500 0.500
6 Pb 0.000 0.500 0.841
7 Pb 0.500 0.000 0.159
8 Pb 0.500 0.000 0.500
9 Pb 0.500 0.000 0.841
10 Pb 0.500 0.500 0.000
11 Pb 0.500 0.500 0.329
12 Pb 0.500 0.500 0.671



10.
Compound: YAl2Tc
Source: Alexandria via LeMat-Bulk
Functional: GGA-PBE
Structure: relaxed

## Properties
Energy of formation from the pure elements = -90 kJ/mol of formula units
E above lowest polymorph = 108 meV/atom

abc: 3.365 3.365 6.728
angles: 90.00 90.00 90.00
Atoms (fractional coordinates):
1 Y 0.000 0.000 0.000
2 Al 0.000 0.000 0.559
3 Al 0.500 0.500 0.338
4 Tc 0.500 0.500 0.724



11.
Compound: KSbCl3
Source: Alexandria via LeMat-Bulk
Functional: GGA-PBE
Structure: relaxed

## Properties
E above lowest polymorph = 977 meV/atom
Raw formation energy = -219 meV per atom

abc: 5.543 5.543 5.543
angles: 90.00 90.00 90.00
Atoms (fractional coordinates):
1 K 0.000 0.000 0.000
2 Sb 0.500 0.500 0.500
3 Cl 0.000 0.000 0.500
4 Cl 0.000 0.500 0.000
5 Cl 0.500 0.000 0.000



12.
Compound: NdSmDy2Tl4
Source: Alexandria via LeMat-Bulk
Functional: GGA-PBE
Structure: relaxed

## Properties
Energy of formation from the pure elements = -277 kJ/mol of formula units

abc: 9.415 9.415 9.415
angles: 33.51 33.51 33.51
Atoms (fractional coordinates):
1 Nd 0.000 0.000 0.000
2 Sm 0.500 0.500 0.500
3 Dy 0.250 0.250 0.250
4 Dy 0.750 0.750 0.750
5 Tl 0.125 0.125 0.125
6 Tl 0.376 0.376 0.376
7 Tl 0.624 0.624 0.624
8 Tl 0.875 0.875 0.875



How do the records compare in uncorrected energy? In the order shown, they have -4.7467 -3.9462 -6.3622 -6.3012 -5.4026 -4.0746 -4.5652 -4.0048 -4.3635 -6.3117 -2.3712 -3.8789 eV/atom.